Below is a geometry-optimized ScCdAg2 structure, with properties calculated at the PBE-GGA level.

Calculated values
**Crystal system**: orthorhombic
**ΔE_f**: -0.196 eV/atom
**Symmetry**: Pmmm

Cell lengths 3.461, 3.440, 7.478 Å; angles 62.63, 90.00, 90.00 degrees
Positions (direct):
Sc  0.500  0.750  0.750
Ag  0.000  0.007  0.993
Ag  0.000  0.493  0.507
Cd  0.500  0.250  0.250


Below is a geometry-optimized CsCdPb2Cl8 structure, with properties calculated at the PBE-GGA level.

Calculated values
**Crystal system**: triclinic
**Energy relative to the elements, uncorrected**: -1.108 eV per atom
**Symmetry**: P-1

Cell lengths 6.759, 6.620, 9.077 Å; angles 89.92, 89.94, 86.19 degrees
Positions (direct):
Cs  0.000  0.000  0.500
Cd  0.000  0.000  0.000
Pb  0.500  0.500  0.763
Pb  0.500  0.500  0.237
Cl  0.156  0.758  0.199
Cl  0.661  0.731  0.000
Cl  0.843  0.241  0.199
Cl  0.844  0.242  0.801
Cl  0.339  0.269  0.000
Cl  0.157  0.759  0.801
Cl  0.607  0.716  0.500
Cl  0.393  0.284  0.500


Below is a geometry-optimized ZnGePO2 structure, with properties calculated at the PBE-GGA level.

Calculated values
**Crystal system**: tetragonal
**Energy relative to the elements, uncorrected**: 0.131 eV per atom
**Symmetry**: P4/mmm

Cell lengths 3.790, 3.790, 4.970 Å; angles 90.00, 90.00, 90.00 degrees
Positions (direct):
P  0.000  0.000  0.500
Ge  0.500  0.500  0.500
Zn  0.000  0.000  0.000
O  0.000  0.500  0.000
O  0.500  0.000  0.000


Below is a geometry-optimized BaMg14Zn structure, with properties calculated at the PBE-GGA level.

Calculated values
**Crystal system**: orthorhombic
**ΔE_f**: 0.057 eV/atom
**Symmetry**: Amm2

Cell lengths 6.748, 6.748, 10.439 Å; angles 90.00, 90.00, 123.60 degrees
Positions (direct):
Ba  0.306  0.694  0.500
Mg  0.831  0.169  0.000
Mg  0.333  0.667  0.000
Mg  0.310  0.191  0.500
Mg  0.342  0.177  0.000
Mg  0.809  0.690  0.500
Mg  0.823  0.658  0.000
Mg  0.173  0.324  0.241
Mg  0.173  0.324  0.759
Mg  0.676  0.827  0.241
Mg  0.676  0.827  0.759
Mg  0.683  0.317  0.273
Mg  0.683  0.317  0.727
Mg  0.160  0.840  0.230
Mg  0.160  0.840  0.770
Zn  0.862  0.138  0.500


Below is a geometry-optimized LiCeSCl structure, with properties calculated at the PBE-GGA level.

Calculated values
**Crystal system**: trigonal
**Energy relative to the elements, uncorrected**: -1.675 eV per atom
**Symmetry**: R-3m

Cell lengths 3.974, 3.974, 13.903 Å; angles 81.78, 81.78, 60.00 degrees
Positions (direct):
Li  0.812  0.812  0.563
Li  0.188  0.188  0.437
Ce  0.584  0.584  0.249
Ce  0.416  0.416  0.751
S  0.127  0.127  0.620
S  0.873  0.873  0.380
Cl  0.708  0.708  0.876
Cl  0.292  0.292  0.124


Below is a geometry-optimized MnFe structure, with properties calculated at the PBE-GGA level.

Calculated values
**Crystal system**: tetragonal
**ΔE_f**: 0.099 eV/atom
**Symmetry**: I4_1/amd

Cell lengths 3.502, 4.257, 3.502 Å; angles 65.71, 90.00, 114.29 degrees
Positions (direct):
Mn  0.500  0.000  0.500
Mn  0.250  0.500  0.250
Fe  0.000  0.000  0.000
Fe  0.750  0.500  0.750


One value per record, in order, for M_tot: 0.00 0.00 0.00 0.00 3.23 0.79 Bohr magnetons per cell.